This record from Alexandria describes crystalline Li4Zn2In3 at its relaxed geometry. The functional is PBE.

```
Li4Zn2In3
1.0
-0.9620 -3.8497 -1.0581
2.7672 -1.7594 -4.0353
7.9454 -2.8729 3.2452
Li Zn In
4 2 3
direct
0.3317 0.3363 0.1083
0.6683 0.6637 0.8917
0.0046 0.9901 0.3202
0.9954 0.0099 0.6798
0.6745 0.6514 0.2151
0.3255 0.3486 0.7849
0.3329 0.3334 0.4321
0.0000 0.0000 0.0000
0.6671 0.6666 0.5679
```

Properties
- symmetry = P-1, No. 2
- total energy (eV for the cell shown) = -20.08
- Fermi-level density of states (states/eV/f.u.) = 3.120
- crystal system = triclinic

This record from Alexandria describes crystalline Li6ZnIn2 at its relaxed geometry. The functional is PBE.

```
Li6ZnIn2
1.0
2.8152 0.0001 -0.3893
0.0003 8.0751 -0.0007
-1.8692 -4.0382 7.2400
In Li Zn
2 6 1
direct
0.6666 0.3333 0.6665
0.3334 0.6667 0.3335
0.1674 0.9998 0.6705
0.8326 0.0002 0.3295
0.5001 0.3296 0.0000
0.1674 0.6707 0.6705
0.8326 0.3293 0.3295
0.4999 0.6704 0.0000
0.0000 0.0000 0.0000
```

Properties
- symmetry = C2/m, No. 12
- total energy (eV for the cell shown) = -20.14
- E above lowest polymorph (meV/atom) = 18.1
- Fermi-level density of states (states/eV/f.u.) = 1.843
- crystal system = monoclinic

This record from Alexandria describes crystalline Li6ZnIn12 at its relaxed geometry. The functional is PBE.

```
Li6ZnIn12
1.0
7.4699 0.5695 0.6823
-0.5695 7.4699 0.6823
-0.5695 -0.6635 7.4716
Li In Zn
6 12 1
direct
0.2635 0.7312 0.8931
0.1069 0.7365 0.2688
0.7365 0.2688 0.1069
0.8931 0.2635 0.7312
0.2688 0.1069 0.7365
0.7312 0.8931 0.2635
0.4564 0.5609 0.2042
0.0171 0.1500 0.3637
0.3637 0.0171 0.1500
0.8500 0.6363 0.9829
0.2042 0.4564 0.5609
0.1500 0.3637 0.0171
0.6363 0.9829 0.8500
0.5436 0.4391 0.7958
0.9829 0.8500 0.6363
0.5609 0.2042 0.4564
0.7958 0.5436 0.4391
0.4391 0.7958 0.5436
0.0000 0.0000 0.0000
```

Properties
- symmetry = R-3, No. 148
- total energy (eV for the cell shown) = -48.30
- Fermi-level density of states (states/eV/f.u.) = 8.310
- crystal system = trigonal

This record from Alexandria describes crystalline Li3ZnIn2 at its relaxed geometry. The functional is PBE.

```
Li3ZnIn2
1.0
-3.6701 2.5119 3.6461
-1.6144 -4.8391 1.7087
7.9401 1.2565 2.5912
Zn In Li
2 4 6
direct
0.0000 0.7500 0.0000
0.0000 0.2500 0.0000
0.5079 0.8405 0.6809
0.4921 0.1595 0.3191
0.1731 0.3405 0.6809
0.8269 0.6595 0.3191
0.5000 0.2500 0.0000
0.3108 0.6483 0.2965
0.6892 0.3517 0.7035
0.9857 0.1483 0.2965
0.0143 0.8517 0.7035
0.5000 0.7500 0.0000
```

Properties
- symmetry = Ibam, No. 72
- total energy (eV for the cell shown) = -26.52
- E above lowest polymorph (meV/atom) = 112.8
- Fermi-level density of states (states/eV/f.u.) = 1.933
- crystal system = orthorhombic

This record from Alexandria describes crystalline LiZnIn14 at its relaxed geometry. The functional is PBE.

```
LiZnIn14
1.0
6.9652 -0.0156 0.0000
0.0140 6.9652 0.0000
0.0000 0.0000 8.4989
In Li Zn
14 1 1
direct
0.1281 0.6219 0.7375
0.8749 0.3751 0.5000
0.3751 0.8752 0.0000
0.6214 0.6214 0.7375
0.1281 0.6219 0.2625
0.8752 0.3751 0.0000
0.1286 0.1286 0.2629
0.6214 0.6214 0.2625
0.6219 0.1281 0.2625
0.1286 0.1286 0.7371
0.3751 0.8749 0.5000
0.3750 0.3750 0.0000
0.6219 0.1281 0.7375
0.8752 0.8752 0.0000
0.8746 0.8746 0.5000
0.3750 0.3750 0.5000
```

Properties
- symmetry = Amm2, No. 38
- total energy (eV for the cell shown) = -41.49
- Fermi-level density of states (states/eV/f.u.) = 7.144
- crystal system = orthorhombic

This record from Alexandria describes crystalline Li3ZnIn6 at its relaxed geometry. The functional is PBE.

```
Li3ZnIn6
1.0
-4.0831 5.9367 -3.1888
-4.0030 -6.0436 -3.0880
-3.1953 0.0393 7.2023
In Zn Li
12 2 6
direct
0.9922 0.6807 0.1363
0.3661 0.4941 0.8339
0.8637 0.0078 0.3193
0.6807 0.1363 0.9922
0.1363 0.9922 0.6807
0.8339 0.3661 0.4941
0.0078 0.3193 0.8637
0.4941 0.8339 0.3661
0.3193 0.8637 0.0078
0.5059 0.1661 0.6339
0.1661 0.6339 0.5059
0.6339 0.5059 0.1661
0.0000 0.0000 0.0000
0.5000 0.5000 0.5000
0.4774 0.1814 0.2679
0.7321 0.5226 0.8186
0.5226 0.8186 0.7321
0.1814 0.2679 0.4774
0.8186 0.7321 0.5226
0.2679 0.4774 0.1814
```

Properties
- symmetry = R-3, No. 148
- total energy (eV for the cell shown) = -48.19
- Fermi-level density of states (states/eV/f.u.) = 4.194
- crystal system = trigonal

This record from Alexandria describes crystalline Li12Zn6In at its relaxed geometry. The functional is PBE.

```
Li12Zn6In
1.0
6.8525 0.5361 0.6422
-0.5090 6.8546 0.6422
-0.5090 -0.5930 6.8590
Li Zn In
12 6 1
direct
0.8398 0.6182 0.9714
0.3818 0.0286 0.1602
0.6182 0.9714 0.8398
0.5699 0.1963 0.4763
0.1963 0.4763 0.5699
0.8037 0.5237 0.4301
0.9714 0.8398 0.6182
0.5237 0.4301 0.8037
0.1602 0.3818 0.0286
0.4301 0.8037 0.5237
0.0286 0.1602 0.3818
0.4763 0.5699 0.1963
0.8848 0.2833 0.7339
0.2661 0.1152 0.7167
0.7339 0.8848 0.2833
0.2833 0.7339 0.8848
0.1152 0.7167 0.2661
0.7167 0.2661 0.1152
0.0000 0.0000 0.0000
```

Properties
- symmetry = R-3, No. 148
- total energy (eV for the cell shown) = -35.65
- Fermi-level density of states (states/eV/f.u.) = 6.421
- crystal system = trigonal

This record from Alexandria describes crystalline LiZn2In at its relaxed geometry. The functional is PBE.

```
LiZn2In
1.0
-0.1832 2.6962 3.3732
1.0056 -2.3100 1.9010
5.5940 0.2858 0.0755
Li In Zn
1 1 2
direct
0.5000 0.7934 0.7922
0.0000 0.4484 0.4760
0.0000 0.1899 0.9881
0.5000 0.0683 0.2437
```

Properties
- symmetry = Pm, No. 6
- total energy (eV for the cell shown) = -7.55
- Fermi-level density of states (states/eV/f.u.) = 0.856
- crystal system = monoclinic